(1)
DFT (PBE-GGA) results for a relaxed Tb2PmHo5Er crystal.

Summary:
Formation energy, meV per atom: 292
Density of states at the Fermi level, states/eV/cell: 45.5

a = 8.877 Å, b = 8.877 Å, c = 14.706 Å
α = 90.00°, β = 90.00°, γ = 90.00°
Space group I4/mcm (No. 140)
One atom of each set of equivalent atoms:
Tb: 0.113 0.387 0.000 x8
Pm: 0.000 0.000 0.250 x4
Ho: 0.000 0.000 0.000 x4
Ho: 0.206 0.294 0.367 x16
Er: 0.000 0.500 0.250 x4


(2)
DFT (PBE-GGA) results for a relaxed PmHo2Er3Te6 crystal.

Summary:
ΔE_f (raw), eV/f.u.: -15.1
Density of states at the Fermi level, states/eV/cell: 13.2

a = 18.999 Å, b = 4.321 Å, c = 8.756 Å
α = 90.00°, β = 103.67°, γ = 90.00°
Space group C2/m (No. 12)
One atom of each set of equivalent atoms:
Pm: 0.000 0.000 0.000 x2
Ho: 0.164 0.500 0.328 x4
Er: 0.000 0.000 0.500 x2
Er: 0.162 0.500 0.832 x4
Te: 0.001 0.500 0.259 x4
Te: 0.168 0.000 0.584 x4
Te: 0.172 0.000 0.084 x4


(3)
DFT (PBE-GGA) results for a relaxed Pm3HoEr2Te6 crystal.

Summary:
ΔE_f (raw), eV/f.u.: -15.8
Density of states at the Fermi level, states/eV/cell: 11.9

a = 19.278 Å, b = 4.348 Å, c = 8.894 Å
α = 90.00°, β = 104.88°, γ = 90.00°
Space group C2/m (No. 12)
One atom of each set of equivalent atoms:
Pm: 0.000 0.000 0.000 x2
Pm: 0.166 0.500 0.332 x4
Ho: 0.000 0.000 0.500 x2
Er: 0.166 0.500 0.832 x4
Te: 0.003 0.500 0.744 x4
Te: 0.165 0.000 0.590 x4
Te: 0.170 0.000 0.075 x4


(4)
DFT (PBE-GGA) results for a relaxed Pm3Ho2ErTe6 crystal.

Summary:
ΔE_f (raw), eV/f.u.: -15.9
Density of states at the Fermi level, states/eV/cell: 11.9

a = 19.279 Å, b = 4.353 Å, c = 8.893 Å
α = 90.00°, β = 104.72°, γ = 90.00°
Space group C2/m (No. 12)
One atom of each set of equivalent atoms:
Pm: 0.000 0.000 0.000 x2
Pm: 0.167 0.500 0.333 x4
Ho: 0.167 0.500 0.834 x4
Er: 0.000 0.000 0.500 x2
Te: 0.002 0.500 0.742 x4
Te: 0.164 0.000 0.589 x4
Te: 0.169 0.000 0.077 x4


(5)
DFT (PBE-GGA) results for a relaxed Pm2Ho3ErTe6 crystal.

Summary:
ΔE_f (raw), eV/f.u.: -15.6
Density of states at the Fermi level, states/eV/cell: 13.5

a = 19.120 Å, b = 4.343 Å, c = 8.812 Å
α = 90.00°, β = 103.32°, γ = 90.00°
Space group C2/m (No. 12)
One atom of each set of equivalent atoms:
Pm: 0.171 0.000 0.337 x4
Ho: 0.000 0.500 0.500 x2
Ho: 0.173 0.000 0.835 x4
Er: 0.000 0.500 0.000 x2
Te: 0.003 0.000 0.753 x4
Te: 0.162 0.500 0.589 x4
Te: 0.163 0.500 0.074 x4


(6)
DFT (PBE-GGA) results for a relaxed Pm2HoErTe5 crystal.

Summary:
ΔE_f (raw), eV/f.u.: -6.9
Density of states at the Fermi level, states/eV/cell: 5.0

a = 5.524 Å, b = 5.524 Å, c = 11.496 Å
α = 90.00°, β = 90.00°, γ = 90.00°
Space group P4/mmm (No. 123)
One atom of each set of equivalent atoms:
Pm: 0.000 0.000 0.161 x2
Ho: 0.500 0.500 0.000 x1
Er: 0.500 0.500 0.500 x1
Te: 0.000 0.000 0.500 x1
Te: 0.000 0.500 0.000 x2
Te: 0.500 0.500 0.255 x2